(1)
Compound: ErThPt2
Source: Alexandria
Functional: PBE
Structure: optimized geometry

As for the volume: 24.9 A^3/atom. The electronic total energy is -7.2026 eV/atom. Its distance to the lowest polymorph of the same formula is 43.8 meV per atom. The density comes out at 13.14 g cm⁻³. The formation energy from the elements comes out at -114.48 kJ/mol of atoms. The density of states at the Fermi level comes out at 0.4520 states/eV per atom.

It has space group R3m (No. 160, hexagonal axes), with a = 4.0721 Å, b = 4.0721 Å, c = 20.8369 Å, α = 90.00°, β = 90.00° and γ = 120.00°. The distinct sites, in fractional coordinates, are Er at (0.0000, 0.0000, 0.0000), Th at (0.0000, 0.0000, 0.1722), Pt at (0.0000, 0.0000, 0.5890) and Pt at (0.0000, 0.0000, 0.7513).

(2)
Compound: Er2ThPt9
Source: Alexandria
Functional: PBE
Structure: optimized geometry

As for the volume: 17.8 A^3/atom. The electronic total energy is -7.0093 eV/atom. The density comes out at 18.05 g cm⁻³. The formation energy from the elements comes out at -106.12 kJ/mol of atoms. The density of states at the Fermi level comes out at 0.6050 states/eV per atom.

It has space group P4/mmm (No. 123), with a = 4.1496 Å, b = 4.1496 Å, c = 12.4082 Å, α = 90.00°, β = 90.00° and γ = 90.00°. The distinct sites, in fractional coordinates, are Er at (0.0000, 0.0000, 0.1620), Th at (0.0000, 0.0000, 0.5000), Pt at (0.0000, 0.5000, 0.0000), Pt at (0.0000, 0.5000, 0.3276), Pt at (0.5000, 0.5000, 0.1635) and Pt at (0.5000, 0.5000, 0.5000).

(3)
Compound: Er2ThPt2
Source: Alexandria
Functional: PBE
Structure: optimized geometry

As for the volume: 24.4 A^3/atom. The electronic total energy is -6.7475 eV/atom. The density comes out at 13.03 g cm⁻³. The formation energy from the elements comes out at -98.61 kJ/mol of atoms. The density of states at the Fermi level comes out at 0.6571 states/eV per atom.

It has space group Cmcm (No. 63), with a = 3.8305 Å, b = 27.2618 Å, c = 4.6712 Å, α = 90.00°, β = 90.00° and γ = 90.00°. The distinct sites, in fractional coordinates, are Er at (0.0000, 0.0499, 0.2500), Er at (0.0000, 0.2640, 0.7500), Th at (0.0000, 0.3626, 0.2500), Pt at (0.0000, 0.1581, 0.2500) and Pt at (0.0000, 0.4661, 0.2500).